! LiBeFe2 | Alexandria | PBE | relaxed; values from VASP
&SYSTEM
  ibrav = 0, nat = 8, ntyp = 3
/
ATOMIC_SPECIES
Li 6.94 Li.upf
Be 9.01 Be.upf
Fe 55.84 Fe.upf
CELL_PARAMETERS angstrom
3.447 0.000 0.000
0.000 3.462 0.000
0.000 0.000 7.342
ATOMIC_POSITIONS angstrom
Li 0.000 0.000 0.000
Li 1.724 1.731 0.000
Be 0.000 0.000 3.671
Be 1.724 1.731 3.671
Fe 0.000 1.731 2.130
Fe 0.000 1.731 5.212
Fe 1.724 0.000 2.130
Fe 1.724 0.000 5.212
! Final energy   -0.2049 hartree per atom
! Fermi-level density of states   2.19 states/eV/f.u.
! Symmetry   Cmmm, No. 65

=====

! Er4Pd7Pt6 | Alexandria | PBE | relaxed; values from VASP
&SYSTEM
  ibrav = 0, nat = 17, ntyp = 3
/
ATOMIC_SPECIES
Er 167.26 Er.upf
Pd 106.42 Pd.upf
Pt 195.08 Pt.upf
CELL_PARAMETERS angstrom
-4.251 4.251 4.251
4.251 -4.251 4.251
4.251 4.251 -4.251
ATOMIC_POSITIONS angstrom
Er 2.125 2.125 -2.125
Er 2.125 -2.125 2.125
Er -2.125 2.125 2.125
Er 2.125 2.125 2.125
Pd 0.000 0.000 0.000
Pd 4.251 2.125 0.000
Pd 4.251 0.000 2.125
Pd 2.125 4.251 0.000
Pd 2.125 0.000 4.251
Pd 0.000 4.251 2.125
Pd 0.000 2.125 4.251
Pt 2.552 0.000 0.000
Pt 5.950 0.000 0.000
Pt 0.000 2.552 0.000
Pt 0.000 0.000 2.552
Pt 0.000 5.950 0.000
Pt 0.000 0.000 5.950
! Final energy   -0.2261 hartree per atom
! Fermi-level density of states   6.33 states/eV/f.u.
! Symmetry   Im-3m, No. 229

=====

! Sr2CeTe2O2 | Alexandria | PBE | relaxed; values from VASP
&SYSTEM
  ibrav = 0, nat = 14, ntyp = 4
/
ATOMIC_SPECIES
Sr 87.62 Sr.upf
Ce 140.12 Ce.upf
Te 127.60 Te.upf
O 16.00 O.upf
CELL_PARAMETERS angstrom
4.518 0.000 0.000
0.000 4.518 0.000
0.000 0.000 17.634
ATOMIC_POSITIONS angstrom
Sr 0.000 0.000 2.144
Sr 0.000 0.000 15.490
Sr 2.259 2.259 6.673
Sr 2.259 2.259 10.961
Ce 0.000 0.000 8.817
Ce 2.259 2.259 0.000
Te 0.000 0.000 5.713
Te 0.000 0.000 11.921
Te 2.259 2.259 3.104
Te 2.259 2.259 14.530
O 0.000 2.259 0.000
O 0.000 2.259 8.817
O 2.259 0.000 0.000
O 2.259 0.000 8.817
! Final energy   -0.2177 hartree per atom
! Symmetry   I4/mmm, No. 139

=====

! Nd5AgTe5 | Alexandria | PBE | relaxed; values from VASP
&SYSTEM
  ibrav = 0, nat = 11, ntyp = 3
/
ATOMIC_SPECIES
Nd 144.24 Nd.upf
Ag 107.87 Ag.upf
Te 127.60 Te.upf
CELL_PARAMETERS angstrom
7.034 -3.178 0.000
7.034 3.178 0.000
-2.849 0.000 8.459
ATOMIC_POSITIONS angstrom
Nd 0.000 0.000 0.000
Nd 4.227 0.000 1.417
Nd 2.817 0.000 5.623
Nd 8.402 0.000 2.835
Nd 6.991 0.000 7.042
Ag 7.034 0.000 0.000
Te -0.053 0.000 7.002
Te 1.396 0.000 2.843
Te 5.609 0.000 4.229
Te 9.823 0.000 5.616
Te 11.272 0.000 1.457
! Final energy   -0.1855 hartree per atom
! Fermi-level density of states   9.30 states/eV/f.u.
! Symmetry   C2/m, No. 12